Record 1
# PBE HoTlAgTe3, optimized geometry
data_HoTlAgTe3
_symmetry_space_group_name_H-M 'C m c m'
_symmetry_Int_Tables_number 63
_symmetry_space_group_name_Hall '-C 2c 2'
_cell_length_a 4.2361
_cell_length_b 15.6047
_cell_length_c 11.4358
_cell_angle_alpha 90.00
_cell_angle_beta 90.00
_cell_angle_gamma 90.00
loop_
_atom_site_label
_atom_site_type_symbol
_atom_site_fract_x
_atom_site_fract_y
_atom_site_fract_z
_atom_site_occupancy
Ho1 Ho 0.0000 0.0000 0.0000 1
Tl1 Tl 0.0000 0.2385 0.2500 1
Ag1 Ag 0.0000 0.4626 0.7500 1
Te1 Te 0.0000 0.0809 0.7500 1
Te2 Te 0.0000 0.3619 0.5478 1
# - formation energy (no corrections) (eV/f.u.) = -4.02
# - VASP energy (eV per atom) = -3.87

***

Record 2
# PBE Sr2ZnBr6, optimized geometry
data_Sr2ZnBr6
_symmetry_space_group_name_H-M 'P 42/m n m'
_symmetry_Int_Tables_number 136
_symmetry_space_group_name_Hall '-P 4n 2n'
_cell_length_a 6.9049
_cell_length_b 6.9049
_cell_length_c 13.2024
_cell_angle_alpha 90.00
_cell_angle_beta 90.00
_cell_angle_gamma 90.00
loop_
_atom_site_label
_atom_site_type_symbol
_atom_site_fract_x
_atom_site_fract_y
_atom_site_fract_z
_atom_site_occupancy
Sr1 Sr 0.0000 0.0000 0.1658 1
Zn1 Zn 0.0000 0.0000 0.5000 1
Br1 Br 0.1850 0.1850 0.3537 1
Br2 Br 0.2186 0.2186 0.0000 1
# - formation energy (no corrections) (eV/f.u.) = -14.57
# - ΔE to the lowest computed polymorph (meV per atom) = 48
# - VASP energy (eV per atom) = -3.25